A | Computed, not measured: a relaxed MnCoRu2 crystal at the GGA-PBE level of DFT.

For the density of states at the Fermi level, the calculation gives 4.4 states/eV/f.u. For the volume, the calculation gives 99.03 Å³ per cell. Its density is 10598 kg/m3. The value obtained for the magnetization is 0.2176 μB/atom.

Structure (CIF):
```
data_MnCoRu2
_chemical_formula_sum 'Mn2 Co2 Ru4'
_space_group_name_H-M_alt 'A m m 2'
_space_group_IT_number 38
_cell_length_a 3.9740
_cell_length_b 2.6240
_cell_length_c 9.4967
_cell_angle_alpha 90.00
_cell_angle_beta 90.00
_cell_angle_gamma 90.00
loop_
_space_group_symop_operation_xyz
'x,y,z'
'-x,-y,z'
'-x,y,z'
'x,-y,z'
'x,y+1/2,z+1/2'
'-x,-y+1/2,z+1/2'
'-x,y+1/2,z+1/2'
'x,-y+1/2,z+1/2'
loop_
_atom_site_label
_atom_site_fract_x
_atom_site_fract_y
_atom_site_fract_z
Mn1 0.0000 0.0000 0.0000
Co1 0.5000 0.0000 0.8685
Ru1 0.0000 0.0000 0.2676
Ru2 0.5000 0.0000 0.6032
```

***

B | Computed, not measured: a relaxed MnCoRu2 crystal at the GGA-PBE level of DFT.

For the density of states at the Fermi level, the calculation gives 7.2 states/eV/f.u. For the volume, the calculation gives 199.55 Å³ per cell. Its density is 10518 kg/m3. The value obtained for the magnetization is 0.0005 μB/atom.

Structure (CIF):
```
data_MnCoRu2
_chemical_formula_sum 'Mn4 Co4 Ru8'
_space_group_name_H-M_alt 'F m -3 m'
_space_group_IT_number 225
_space_group_name_Hall '-F 4 2 3'
_cell_length_a 5.8437
_cell_length_b 5.8437
_cell_length_c 5.8437
_cell_angle_alpha 90.00
_cell_angle_beta 90.00
_cell_angle_gamma 90.00
loop_
_atom_site_label
_atom_site_fract_x
_atom_site_fract_y
_atom_site_fract_z
Mn1 0.0000 0.0000 0.0000
Co1 0.0000 0.0000 0.5000
Ru1 0.2500 0.2500 0.2500
```

***

Most stable to least stable, the ends of the list are A and B.

***

A | Computed, not measured: a relaxed Mn4CoRu crystal at the GGA-PBE level of DFT.

For the density of states at the Fermi level, the calculation gives 7.5 states/eV/f.u. For the volume, the calculation gives 67.48 Å³ per cell. Its density is 9345 kg/m3. The value obtained for the magnetization is 0.0016 μB/atom.

Structure (CIF):
```
data_Mn4CoRu
_chemical_formula_sum 'Mn4 Co1 Ru1'
_space_group_name_H-M_alt 'P 1 2/m 1'
_space_group_IT_number 10
_cell_length_a 4.3771
_cell_length_b 2.5398
_cell_length_c 6.2404
_cell_angle_alpha 90.00
_cell_angle_beta 103.44
_cell_angle_gamma 90.00
loop_
_space_group_symop_operation_xyz
'x,y,z'
'-x,-y,-z'
'-x,y,-z'
'x,-y,z'
loop_
_atom_site_label
_atom_site_fract_x
_atom_site_fract_y
_atom_site_fract_z
Mn1 0.2157 0.0000 0.1546
Mn2 0.2781 0.5000 0.8414
Co1 0.0000 0.0000 0.5000
Ru1 0.5000 0.5000 0.5000
```

***

B | Computed, not measured: a relaxed Mn4CoRu crystal at the GGA-PBE level of DFT.

For the density of states at the Fermi level, the calculation gives 7.9 states/eV/f.u. For the volume, the calculation gives 277.03 Å³ per cell. Its density is 9105 kg/m3. The value obtained for the magnetization is 0.4581 μB/atom.

Structure (CIF):
```
data_Mn4CoRu
_chemical_formula_sum 'Mn16 Co4 Ru4'
_space_group_name_H-M_alt 'F -4 3 m'
_space_group_IT_number 216
_space_group_name_Hall 'F -4 2 3'
_cell_length_a 6.5189
_cell_length_b 6.5189
_cell_length_c 6.5189
_cell_angle_alpha 90.00
_cell_angle_beta 90.00
_cell_angle_gamma 90.00
loop_
_atom_site_label
_atom_site_fract_x
_atom_site_fract_y
_atom_site_fract_z
Mn1 0.1236 0.1236 0.3764
Co1 0.2500 0.2500 0.7500
Ru1 0.0000 0.0000 0.0000
```

***

Most stable to least stable, the ends of the list are A and B.

***

A | Computed, not measured: a relaxed ZrMnCo2Ru crystal at the GGA-PBE level of DFT.

For the density of states at the Fermi level, the calculation gives 7.0 states/eV/f.u. For the volume, the calculation gives 77.48 Å³ per cell. Its density is 7825 kg/m3. The value obtained for the magnetization is 0.0000 μB/atom.

Structure (CIF):
```
data_ZrMnCo2Ru
_chemical_formula_sum 'Zr1 Mn1 Co2 Ru1'
_space_group_name_H-M_alt 'P 4/m m m'
_space_group_IT_number 123
_space_group_name_Hall '-P 4 2'
_cell_length_a 4.1853
_cell_length_b 4.1853
_cell_length_c 4.4230
_cell_angle_alpha 90.00
_cell_angle_beta 90.00
_cell_angle_gamma 90.00
loop_
_atom_site_label
_atom_site_fract_x
_atom_site_fract_y
_atom_site_fract_z
Zr1 0.0000 0.0000 0.0000
Mn1 0.5000 0.5000 0.5000
Co1 0.0000 0.5000 0.5000
Ru1 0.5000 0.5000 0.0000
```

***

B | Computed, not measured: a relaxed ZrMnCo2Ru crystal at the GGA-PBE level of DFT.

For the density of states at the Fermi level, the calculation gives 5.3 states/eV/f.u. For the volume, the calculation gives 90.90 Å³ per cell. Its density is 6670 kg/m3. The value obtained for the magnetization is 1.3432 μB/atom.

Structure (CIF):
```
data_ZrMnCo2Ru
_chemical_formula_sum 'Zr1 Mn1 Co2 Ru1'
_space_group_name_H-M_alt 'P 4/m m m'
_space_group_IT_number 123
_space_group_name_Hall '-P 4 2'
_cell_length_a 4.4290
_cell_length_b 4.4290
_cell_length_c 4.6339
_cell_angle_alpha 90.00
_cell_angle_beta 90.00
_cell_angle_gamma 90.00
loop_
_atom_site_label
_atom_site_fract_x
_atom_site_fract_y
_atom_site_fract_z
Zr1 0.0000 0.0000 0.0000
Mn1 0.0000 0.0000 0.5000
Co1 0.0000 0.5000 0.0000
Ru1 0.5000 0.5000 0.5000
```

***

Most stable to least stable, the ends of the list are A and B.

***

A | Computed, not measured: a relaxed MnCo3S crystal at the GGA-PBE level of DFT.

For the density of states at the Fermi level, the calculation gives 11.2 states/eV/f.u. For the volume, the calculation gives 66.82 Å³ per cell. Its density is 6556 kg/m3. The value obtained for the magnetization is 0.6657 μB/atom.

Structure (CIF):
```
data_MnCo3S
_chemical_formula_sum 'Mn1 Co3 S1'
_space_group_name_H-M_alt 'P m -3 m'
_space_group_IT_number 221
_space_group_name_Hall '-P 4 2 3'
_cell_length_a 4.0578
_cell_length_b 4.0578
_cell_length_c 4.0578
_cell_angle_alpha 90.00
_cell_angle_beta 90.00
_cell_angle_gamma 90.00
loop_
_atom_site_label
_atom_site_fract_x
_atom_site_fract_y
_atom_site_fract_z
Mn1 0.0000 0.0000 0.0000
Co1 0.0000 0.5000 0.5000
S1 0.5000 0.5000 0.5000
```

***

B | Computed, not measured: a relaxed MnCo3S crystal at the GGA-PBE level of DFT.

For the density of states at the Fermi level, the calculation gives 12.2 states/eV/f.u. For the volume, the calculation gives 73.95 Å³ per cell. Its density is 5924 kg/m3. The value obtained for the magnetization is 0.5300 μB/atom.

Structure (CIF):
```
data_MnCo3S
_chemical_formula_sum 'Mn1 Co3 S1'
_space_group_name_H-M_alt 'P m -3 m'
_space_group_IT_number 221
_space_group_name_Hall '-P 4 2 3'
_cell_length_a 4.1973
_cell_length_b 4.1973
_cell_length_c 4.1973
_cell_angle_alpha 90.00
_cell_angle_beta 90.00
_cell_angle_gamma 90.00
loop_
_atom_site_label
_atom_site_fract_x
_atom_site_fract_y
_atom_site_fract_z
Mn1 0.0000 0.0000 0.0000
Co1 0.0000 0.0000 0.5000
S1 0.5000 0.5000 0.5000
```

***

Most stable to least stable, the ends of the list are A and B.

***

A | Computed, not measured: a relaxed MnCo2S4 crystal at the GGA-PBE level of DFT.

For the density of states at the Fermi level, the calculation gives 9.4 states/eV/f.u. For the volume, the calculation gives 234.98 Å³ per cell. Its density is 4255 kg/m3. The value obtained for the magnetization is 0.9344 μB/atom.

Structure (CIF):
```
data_MnCo2S4
_chemical_formula_sum 'Mn2 Co4 S8'
_space_group_name_H-M_alt 'I 4/m m m'
_space_group_IT_number 139
_space_group_name_Hall '-I 4 2'
_cell_length_a 4.6179
_cell_length_b 4.6179
_cell_length_c 11.0186
_cell_angle_alpha 90.00
_cell_angle_beta 90.00
_cell_angle_gamma 90.00
loop_
_atom_site_label
_atom_site_fract_x
_atom_site_fract_y
_atom_site_fract_z
Mn1 0.0000 0.0000 0.0000
Co1 0.0000 0.0000 0.3978
S1 0.0000 0.0000 0.2107
S2 0.0000 0.5000 0.0000
```

***

B | Computed, not measured: a relaxed MnCo2S4 crystal at the GGA-PBE level of DFT.

For the density of states at the Fermi level, the calculation gives 5.1 states/eV/f.u. For the volume, the calculation gives 422.95 Å³ per cell. Its density is 4728 kg/m3. The value obtained for the magnetization is 0.2609 μB/atom.

Structure (CIF):
```
data_MnCo2S4
_chemical_formula_sum 'Mn4 Co8 S16'
_space_group_name_H-M_alt 'I m m a'
_space_group_IT_number 74
_space_group_name_Hall '-I 2b 2'
_cell_length_a 6.6292
_cell_length_b 6.7580
_cell_length_c 9.4409
_cell_angle_alpha 90.00
_cell_angle_beta 90.00
_cell_angle_gamma 90.00
loop_
_atom_site_label
_atom_site_fract_x
_atom_site_fract_y
_atom_site_fract_z
Mn1 0.2500 0.2500 0.2500
Co1 0.0000 0.0000 0.0000
Co2 0.0000 0.2500 0.6251
S1 0.0000 0.0062 0.2419
S2 0.2323 0.2500 0.0020
```

***

Most stable to least stable, the ends of the list are B and A.

***

A | Computed, not measured: a relaxed MnCoS3 crystal at the GGA-PBE level of DFT.

For the density of states at the Fermi level, the calculation gives 6.5 states/eV/f.u. For the volume, the calculation gives 91.18 Å³ per cell. Its density is 3826 kg/m3. The value obtained for the magnetization is 1.2854 μB/atom.

Structure (CIF):
```
data_MnCoS3
_chemical_formula_sum 'Mn1 Co1 S3'
_space_group_name_H-M_alt 'P m -3 m'
_space_group_IT_number 221
_space_group_name_Hall '-P 4 2 3'
_cell_length_a 4.5009
_cell_length_b 4.5009
_cell_length_c 4.5009
_cell_angle_alpha 90.00
_cell_angle_beta 90.00
_cell_angle_gamma 90.00
loop_
_atom_site_label
_atom_site_fract_x
_atom_site_fract_y
_atom_site_fract_z
Mn1 0.0000 0.0000 0.0000
Co1 0.5000 0.5000 0.5000
S1 0.0000 0.0000 0.5000
```

***

B | Computed, not measured: a relaxed MnCoS3 crystal at the GGA-PBE level of DFT.

For the density of states at the Fermi level, the calculation gives 2.7 states/eV/f.u. For the volume, the calculation gives 153.12 Å³ per cell. Its density is 4556 kg/m3. The value obtained for the magnetization is 0.4918 μB/atom.

Structure (CIF):
```
data_MnCoS3
_chemical_formula_sum 'Mn2 Co2 S6'
_space_group_name_H-M_alt 'P 1 21/m 1'
_space_group_IT_number 11
_cell_length_a 5.9261
_cell_length_b 3.3154
_cell_length_c 8.0427
_cell_angle_alpha 90.00
_cell_angle_beta 104.31
_cell_angle_gamma 90.00
loop_
_space_group_symop_operation_xyz
'x,y,z'
'-x,-y,-z'
'-x,y+1/2,-z'
'x,-y+1/2,z'
loop_
_atom_site_label
_atom_site_fract_x
_atom_site_fract_y
_atom_site_fract_z
Mn1 0.1351 0.2500 0.1650
Co1 0.2725 0.2500 0.5166
S1 0.0328 0.7500 0.3481
S2 0.2394 0.7500 0.0000
S3 0.4824 0.7500 0.6540
```

***

C | Computed, not measured: a relaxed MnCoS3 crystal at the GGA-PBE level of DFT.

For the density of states at the Fermi level, the calculation gives 8.4 states/eV/f.u. For the volume, the calculation gives 81.58 Å³ per cell. Its density is 4276 kg/m3. The value obtained for the magnetization is 0.0424 μB/atom.

Structure (CIF):
```
data_MnCoS3
_chemical_formula_sum 'Mn1 Co1 S3'
_space_group_name_H-M_alt 'P m -3 m'
_space_group_IT_number 221
_space_group_name_Hall '-P 4 2 3'
_cell_length_a 4.3370
_cell_length_b 4.3370
_cell_length_c 4.3370
_cell_angle_alpha 90.00
_cell_angle_beta 90.00
_cell_angle_gamma 90.00
loop_
_atom_site_label
_atom_site_fract_x
_atom_site_fract_y
_atom_site_fract_z
Mn1 0.0000 0.0000 0.0000
Co1 0.5000 0.5000 0.5000
S1 0.0000 0.5000 0.5000
```

***

Most stable to least stable, the ends of the list are B and C.